# 1
A plane-wave DFT calculation with PBE was carried out for crystalline AlTc2Te at its relaxed geometry.

abc: 8.4414 3.1022 5.1740
angles: 90.00 101.88 90.00
Last column: nearest neighbours and their distance in Å.
Fractional positions:
Al1 0.0000 0.0000 0.0000  6 Tc 2.65-2.66
Al2 0.5000 0.5000 0.0000  6 Tc 2.65-2.66
Tc1 0.2454 0.5000 0.2252  3 Al 2.65-2.66, 3 Te 2.74-2.79, 2 Tc 2.81
Tc2 0.2546 0.0000 0.7748  3 Al 2.65-2.66, 3 Te 2.74-2.79, 2 Tc 2.81
Tc3 0.7454 0.0000 0.2252  3 Al 2.65-2.66, 3 Te 2.74-2.79, 2 Tc 2.81
Tc4 0.7546 0.5000 0.7748  3 Al 2.65-2.66, 3 Te 2.74-2.79, 2 Tc 2.81
Te1 0.0000 0.5000 0.5000  6 Tc 2.74-2.79, 4 Al 3.02
Te2 0.5000 0.0000 0.5000  6 Tc 2.74-2.79, 4 Al 3.02

Formation energy (no corrections) (eV/atom): 0.181
Space group: No. 12

# 2
A plane-wave DFT calculation with PBE was carried out for crystalline ZrCdSe2Br at its relaxed geometry.

abc: 5.2059 5.2059 5.2026
angles: 90.00 90.00 90.00
Last column: nearest neighbours and their distance in Å.
Fractional positions:
Zr1 0.0000 0.0000 0.0000  8 Se 3.68, 4 Br 3.68
Cd1 0.5000 0.5000 0.5000  2 Br 2.60, 4 Se 2.60
Se1 0.0000 0.5000 0.5000  2 Cd 2.60
Se2 0.5000 0.0000 0.5000  2 Cd 2.60
Br1 0.5000 0.5000 0.0000  2 Cd 2.60

Formation energy (no corrections) (eV/atom): 0.265
Space group: No. 123

# 3
A plane-wave DFT calculation with PBE was carried out for crystalline Na8HfS6 at its relaxed geometry.

abc: 7.8863 8.3277 11.6479
angles: 90.00 90.00 90.00
Last column: nearest neighbours and their distance in Å.
Fractional positions:
Na1 0.0000 0.1393 0.0000  4 S 2.76-3.05
Na2 0.0000 0.2282 0.4434  3 S 2.60-2.79
Na3 0.2044 0.5771 0.7936  4 S 2.76-2.97, 1 Na 3.08
Na4 0.2059 0.6985 0.1112  3 S 2.75-2.85
Na5 0.2227 0.9452 0.7689  4 S 2.77-2.91, 1 Na 3.08
Na6 0.2773 0.0548 0.2689  4 S 2.77-2.91, 1 Na 3.08
Na7 0.2941 0.3015 0.6112  3 S 2.75-2.85
Na8 0.2956 0.4229 0.2936  4 S 2.76-2.97, 1 Na 3.08
Na9 0.5000 0.7718 0.9434  3 S 2.60-2.79
Na10 0.5000 0.8607 0.5000  4 S 2.76-3.05
Na11 0.7044 0.4229 0.2936  4 S 2.76-2.97, 1 Na 3.08
Na12 0.7059 0.3015 0.6112  3 S 2.75-2.85
Na13 0.7227 0.0548 0.2689  4 S 2.77-2.91, 1 Na 3.08
Na14 0.7773 0.9452 0.7689  4 S 2.77-2.91, 1 Na 3.08
Na15 0.7941 0.6985 0.1112  3 S 2.75-2.85
Na16 0.7956 0.5771 0.7936  4 S 2.76-2.97, 1 Na 3.08
Hf1 0.0000 0.7379 0.4678  4 S 2.38-2.44
Hf2 0.5000 0.2621 0.9678  4 S 2.38-2.44
S1 0.0000 0.2585 0.2214  6 Na 2.60-2.83
S2 0.0000 0.4970 0.5872  1 Hf 2.44
S3 0.0000 0.7856 0.9316  7 Na 2.75-3.05
S4 0.0000 0.9765 0.5841  1 Hf 2.40, 1 Na 2.66
S5 0.2432 0.7424 0.3463  1 Hf 2.38
S6 0.2568 0.2576 0.8463  1 Hf 2.38
S7 0.5000 0.0235 0.0841  1 Hf 2.40, 1 Na 2.66
S8 0.5000 0.2144 0.4316  7 Na 2.75-3.05
S9 0.5000 0.5030 0.0872  1 Hf 2.44
S10 0.5000 0.7415 0.7214  6 Na 2.60-2.83
S11 0.7432 0.2576 0.8463  1 Hf 2.38
S12 0.7568 0.7424 0.3463  1 Hf 2.38

Formation energy (no corrections) (eV/atom): -1.135
Space group: No. 31

# 4
A plane-wave DFT calculation with PBE was carried out for crystalline YErSn at its relaxed geometry.

abc: 4.9113 4.9113 7.5133
angles: 90.00 90.00 90.00
Last column: nearest neighbours and their distance in Å.
Fractional positions:
Y1 0.2500 0.2500 0.2224  4 Sn 3.22, 5 Er 3.44-3.47
Y2 0.7500 0.7500 0.7776  4 Sn 3.22, 5 Er 3.44-3.47
Er1 0.2500 0.2500 0.7640  4 Sn 3.16, 5 Y 3.44-3.47
Er2 0.7500 0.7500 0.2360  4 Sn 3.16, 5 Y 3.44-3.47
Sn1 0.2500 0.7500 0.5000  4 Er 3.16, 4 Y 3.22, 4 Sn 3.47
Sn2 0.7500 0.2500 0.5000  4 Er 3.16, 4 Y 3.22, 4 Sn 3.47

Space group: No. 129
ΔH_f (0 K) (eV per atom): -0.227

# 5
A plane-wave DFT calculation with PBE was carried out for crystalline Nd3Tl5Te12 at its relaxed geometry.

abc: 15.8201 15.8201 15.8201
angles: 109.47 109.47 109.47
Last column: nearest neighbours and their distance in Å.
Fractional positions:
Nd1 0.1250 0.2500 0.3750  8 Te 3.31-3.34
Nd2 0.1250 0.3750 0.7500  8 Te 3.31-3.34
Nd3 0.2500 0.3750 0.1250  8 Te 3.31-3.34
Nd4 0.2500 0.8750 0.6250  8 Te 3.31-3.34
Nd5 0.3750 0.1250 0.2500  8 Te 3.31-3.34
Nd6 0.3750 0.7500 0.1250  8 Te 3.31-3.34
Nd7 0.6250 0.2500 0.8750  8 Te 3.31-3.34
Nd8 0.6250 0.8750 0.7500  8 Te 3.31-3.34
Nd9 0.7500 0.1250 0.3750  8 Te 3.31-3.34
Nd10 0.7500 0.6250 0.8750  8 Te 3.31-3.34
Nd11 0.8750 0.6250 0.2500  8 Te 3.31-3.34
Nd12 0.8750 0.7500 0.6250  8 Te 3.31-3.34
Tl1 0.0000 0.0000 0.0000  6 Te 3.18
Tl2 0.0000 0.0000 0.5000  6 Te 3.18
Tl3 0.0000 0.5000 0.0000  6 Te 3.18
Tl4 0.0000 0.5000 0.5000  6 Te 3.18
Tl5 0.1250 0.7500 0.8750  4 Te 2.94
Tl6 0.1250 0.8750 0.2500  4 Te 2.94
Tl7 0.2500 0.1250 0.8750  4 Te 2.94
Tl8 0.2500 0.6250 0.3750  4 Te 2.94
Tl9 0.3750 0.2500 0.6250  4 Te 2.94
Tl10 0.3750 0.6250 0.7500  4 Te 2.94
Tl11 0.5000 0.0000 0.0000  6 Te 3.18
Tl12 0.5000 0.0000 0.5000  6 Te 3.18
Tl13 0.5000 0.5000 0.0000  6 Te 3.18
Tl14 0.5000 0.5000 0.5000  6 Te 3.18
Tl15 0.6250 0.3750 0.2500  4 Te 2.94
Tl16 0.6250 0.7500 0.3750  4 Te 2.94
Tl17 0.7500 0.3750 0.6250  4 Te 2.94
Tl18 0.7500 0.8750 0.1250  4 Te 2.94
Tl19 0.8750 0.1250 0.7500  4 Te 2.94
Tl20 0.8750 0.2500 0.1250  4 Te 2.94
Te1 0.0575 0.2298 0.1423  2 Tl 2.94-3.18
Te2 0.0575 0.3276 0.9152  2 Tl 2.94-3.18
Te3 0.0848 0.6423 0.4124  2 Tl 2.94-3.18
Te4 0.0848 0.9425 0.6724  2 Tl 2.94-3.18
Te5 0.0876 0.7298 0.6724  2 Tl 2.94-3.18
Te6 0.0876 0.8577 0.4152  2 Tl 2.94-3.18
Te7 0.1423 0.0575 0.2298  2 Tl 2.94-3.18
Te8 0.1423 0.5848 0.9124  2 Tl 2.94-3.18
Te9 0.1724 0.2298 0.5876  2 Tl 2.94-3.18
Te10 0.1724 0.4425 0.5848  2 Tl 2.94-3.18
Te11 0.2298 0.1423 0.0575  2 Tl 2.94-3.18
Te12 0.2298 0.5876 0.1724  2 Tl 2.94-3.18
Te13 0.2702 0.3276 0.9124  2 Tl 2.94-3.18
Te14 0.2702 0.4425 0.3577  2 Tl 2.94-3.18
Te15 0.3276 0.9124 0.2702  2 Tl 2.94-3.18
Te16 0.3276 0.9152 0.0575  2 Tl 2.94-3.18
Te17 0.3577 0.2702 0.4425  2 Tl 2.94-3.18
Te18 0.3577 0.5876 0.9152  2 Tl 2.94-3.18
Te19 0.4124 0.0848 0.6423  2 Tl 2.94-3.18
Te20 0.4124 0.8276 0.7702  2 Tl 2.94-3.18
Te21 0.4152 0.0876 0.8577  2 Tl 2.94-3.18
Te22 0.4152 0.8276 0.5575  2 Tl 2.94-3.18
Te23 0.4425 0.3577 0.2702  2 Tl 2.94-3.18
Te24 0.4425 0.5848 0.1724  2 Tl 2.94-3.18
Te25 0.5575 0.4152 0.8276  2 Tl 2.94-3.18
Te26 0.5575 0.6423 0.7298  2 Tl 2.94-3.18
Te27 0.5848 0.1724 0.4425  2 Tl 2.94-3.18
Te28 0.5848 0.9124 0.1423  2 Tl 2.94-3.18
Te29 0.5876 0.1724 0.2298  2 Tl 2.94-3.18
Te30 0.5876 0.9152 0.3577  2 Tl 2.94-3.18
Te31 0.6423 0.4124 0.0848  2 Tl 2.94-3.18
Te32 0.6423 0.7298 0.5575  2 Tl 2.94-3.18
Te33 0.6724 0.0848 0.9425  2 Tl 2.94-3.18
Te34 0.6724 0.0876 0.7298  2 Tl 2.94-3.18
Te35 0.7298 0.5575 0.6423  2 Tl 2.94-3.18
Te36 0.7298 0.6724 0.0876  2 Tl 2.94-3.18
Te37 0.7702 0.4124 0.8276  2 Tl 2.94-3.18
Te38 0.7702 0.8577 0.9425  2 Tl 2.94-3.18
Te39 0.8276 0.5575 0.4152  2 Tl 2.94-3.18
Te40 0.8276 0.7702 0.4124  2 Tl 2.94-3.18
Te41 0.8577 0.4152 0.0876  2 Tl 2.94-3.18
Te42 0.8577 0.9425 0.7702  2 Tl 2.94-3.18
Te43 0.9124 0.1423 0.5848  2 Tl 2.94-3.18
Te44 0.9124 0.2702 0.3276  2 Tl 2.94-3.18
Te45 0.9152 0.0575 0.3276  2 Tl 2.94-3.18
Te46 0.9152 0.3577 0.5876  2 Tl 2.94-3.18
Te47 0.9425 0.6724 0.0848  2 Tl 2.94-3.18
Te48 0.9425 0.7702 0.8577  2 Tl 2.94-3.18

Formation energy (no corrections) (eV/atom): -0.514
Space group: No. 230

# 6
A plane-wave DFT calculation with PBE was carried out for crystalline TaCrCd2I at its relaxed geometry.

abc: 5.6416 5.6416 5.1172
angles: 90.00 90.00 90.00
Last column: nearest neighbours and their distance in Å.
Fractional positions:
Ta1 0.0000 0.0000 0.0000  2 I 2.56
Cr1 0.5000 0.5000 0.0000  8 Cd 3.81, 4 Ta 3.99
Cd1 0.0000 0.5000 0.5000  2 I 2.82
Cd2 0.5000 0.0000 0.5000  2 I 2.82
I1 0.0000 0.0000 0.5000  2 Ta 2.56, 4 Cd 2.82

Formation energy (no corrections) (eV/atom): 1.848
Space group: No. 123

# 7
A plane-wave DFT calculation with PBE was carried out for crystalline SrNd3Ir at its relaxed geometry.

abc: 5.7084 5.7084 5.7084
angles: 90.00 90.00 90.00
Last column: nearest neighbours and their distance in Å.
Fractional positions:
Sr1 0.0000 0.0000 0.0000  12 Nd 4.04
Nd1 0.0000 0.5000 0.5000  2 Ir 2.85
Nd2 0.5000 0.0000 0.5000  2 Ir 2.85
Nd3 0.5000 0.5000 0.0000  2 Ir 2.85
Ir1 0.5000 0.5000 0.5000  6 Nd 2.85

Space group: No. 221
ΔH_f (0 K) (eV per atom): -0.239

# 8
A plane-wave DFT calculation with PBE was carried out for crystalline BiH2Rh2 at its relaxed geometry.

abc: 5.6970 5.6970 5.0811
angles: 102.79 102.79 121.03
Last column: nearest neighbours and their distance in Å.
Fractional positions:
Bi1 0.1394 0.8606 0.7500  7 Rh 2.84-2.95, 4 H 2.85-2.98
Bi2 0.8606 0.1394 0.2500  7 Rh 2.84-2.95, 4 H 2.85-2.98
H1 0.2758 0.4612 0.0160  3 Rh 1.75-1.95
H2 0.4612 0.2758 0.5160  3 Rh 1.75-1.95
H3 0.5388 0.7242 0.4840  3 Rh 1.75-1.95
H4 0.7242 0.5388 0.9840  3 Rh 1.75-1.95
Rh1 0.2681 0.7319 0.2500  2 H 1.75
Rh2 0.4290 0.5710 0.7500  4 H 1.82-1.95
Rh3 0.5710 0.4290 0.2500  4 H 1.82-1.95
Rh4 0.7319 0.2681 0.7500  2 H 1.75

Total energy (eV/atom): -5.084
Space group: No. 15

# 9
A plane-wave DFT calculation with PBE was carried out for crystalline TiCuNi at its relaxed geometry.

abc: 4.2419 7.3101 5.0529
angles: 90.00 90.00 90.00
Last column: nearest neighbours and their distance in Å.
Fractional positions:
Ti1 0.0000 0.1650 0.2500  5 Ni 2.44-2.53
Ti2 0.0000 0.8350 0.7500  5 Ni 2.44-2.53
Ti3 0.5000 0.3350 0.7500  5 Ni 2.44-2.53
Ti4 0.5000 0.6650 0.2500  5 Ni 2.44-2.53
Cu1 0.0000 0.5000 0.0000  2 Cu 2.53, 6 Ni 2.73-2.76, 6 Ti 2.75-2.76
Cu2 0.0000 0.5000 0.5000  2 Cu 2.53, 6 Ni 2.73-2.76, 6 Ti 2.75-2.76
Cu3 0.5000 0.0000 0.0000  2 Cu 2.53, 6 Ni 2.73-2.76, 6 Ti 2.75-2.76
Cu4 0.5000 0.0000 0.5000  2 Cu 2.53, 6 Ni 2.73-2.76, 6 Ti 2.75-2.76
Ni1 0.0000 0.1694 0.7500  5 Ti 2.44-2.53, 2 Cu 2.73
Ni2 0.0000 0.8306 0.2500  5 Ti 2.44-2.53, 2 Cu 2.73
Ni3 0.5000 0.3306 0.2500  5 Ti 2.44-2.53, 2 Cu 2.73
Ni4 0.5000 0.6694 0.7500  5 Ti 2.44-2.53, 2 Cu 2.73

Space group: No. 63
ΔH_f (0 K) (eV per atom): -0.249

# 10
A plane-wave DFT calculation with PBE was carried out for crystalline NdAgBiPd at its relaxed geometry.

abc: 7.1868 7.1868 7.1868
angles: 90.00 90.00 90.00
Last column: nearest neighbours and their distance in Å.
Fractional positions:
Nd1 0.0000 0.0000 0.0000  4 Pd 3.11, 4 Ag 3.11
Nd2 0.0000 0.5000 0.5000  4 Pd 3.11, 4 Ag 3.11
Nd3 0.5000 0.0000 0.5000  4 Pd 3.11, 4 Ag 3.11
Nd4 0.5000 0.5000 0.0000  4 Pd 3.11, 4 Ag 3.11
Ag1 0.2500 0.2500 0.2500  4 Bi 3.11, 4 Nd 3.11
Ag2 0.2500 0.7500 0.7500  4 Bi 3.11, 4 Nd 3.11
Ag3 0.7500 0.2500 0.7500  4 Bi 3.11, 4 Nd 3.11
Ag4 0.7500 0.7500 0.2500  4 Bi 3.11, 4 Nd 3.11
Bi1 0.0000 0.0000 0.5000  4 Pd 3.11, 4 Ag 3.11
Bi2 0.0000 0.5000 0.0000  4 Pd 3.11, 4 Ag 3.11
Bi3 0.5000 0.0000 0.0000  4 Pd 3.11, 4 Ag 3.11
Bi4 0.5000 0.5000 0.5000  4 Pd 3.11, 4 Ag 3.11
Pd1 0.2500 0.2500 0.7500  4 Bi 3.11, 4 Nd 3.11
Pd2 0.2500 0.7500 0.2500  4 Bi 3.11, 4 Nd 3.11
Pd3 0.7500 0.2500 0.2500  4 Bi 3.11, 4 Nd 3.11
Pd4 0.7500 0.7500 0.7500  4 Bi 3.11, 4 Nd 3.11

Space group: No. 216
ΔH_f (0 K) (eV per atom): -0.496

| no. | spin magnetization (Bohr magnetons per cell) |
| --- | --- |
| 1 | 0.000 |
| 2 | 1.212 |
| 3 | 0.315 |
| 4 | 0.001 |
| 5 | 0.000 |
| 6 | 3.020 |
| 7 | 0.000 |
| 8 | 0.000 |
| 9 | 0.000 |
| 10 | 0.000 |